VASP calculation (PBE-GGA) on a geometry-optimized LiSbMo2 structure.

a b c (Å): 3.337 3.332 6.791
angles (deg): 60.62 90.00 90.00
Element x y z (fractional)
Mo  0.000  0.995  0.005
Sb  0.000  0.488  0.511
Mo  0.500  0.272  0.228
Li  0.500  0.744  0.756

Summary:
Raw formation energy   81 meV/atom
Fermi-level density of states   0.494 states/eV per atom

***

VASP calculation (PBE-GGA) on a geometry-optimized RbTaRePb2 structure.

a b c (Å): 5.436 5.105 5.436
angles (deg): 90.00 90.00 90.00
Element x y z (fractional)
Re  0.000  0.000  0.000
Ta  0.000  0.500  0.000
Rb  0.500  0.500  0.500
Pb  0.000  0.000  0.500
Pb  0.500  0.000  0.000

Summary:
Energy of formation   89 kJ per mole of atoms
Fermi-level density of states   0.842 states/eV per atom

***

VASP calculation (PBE-GGA) on a geometry-optimized TbTlIn structure.

a b c (Å): 5.440 6.488 5.301
angles (deg): 90.00 120.87 90.00
Element x y z (fractional)
Tb  0.334  0.250  0.167
Tb  0.666  0.750  0.833
In  0.000  0.500  0.500
Tl  0.671  0.250  0.843
In  0.000  0.000  0.500
Tl  0.329  0.750  0.157

Summary:
Energy of formation   -27 kJ per mole of atoms
Fermi-level density of states   0.391 states/eV per atom
Excess energy over the best structure of this formula in the dataset   19 meV/atom

***

VASP calculation (PBE-GGA) on a geometry-optimized KTaP2Cl structure.

a b c (Å): 5.080 5.080 5.031
angles (deg): 90.00 90.00 90.00
Element x y z (fractional)
K  0.000  0.000  0.000
Cl  0.000  0.000  0.500
Ta  0.500  0.500  0.500
P  0.000  0.500  0.000
P  0.500  0.000  0.000

Summary:
Raw formation energy   1881 meV/atom
Fermi-level density of states   0.951 states/eV per atom
Excess energy over the best structure of this formula in the dataset   2375 meV/atom

***

VASP calculation (PBE-GGA) on a geometry-optimized AlTlAs2Br structure.

a b c (Å): 4.908 4.908 5.585
angles (deg): 90.00 90.00 90.00
Element x y z (fractional)
Tl  0.500  0.500  0.500
As  0.500  0.000  0.000
Br  0.000  0.000  0.500
As  0.000  0.500  0.000
Al  0.000  0.000  0.000

Summary:
Raw formation energy   70 meV/atom
Fermi-level density of states   0.642 states/eV per atom
Excess energy over the best structure of this formula in the dataset   0 meV/atom

***

VASP calculation (PBE-GGA) on a geometry-optimized Ba2ZnInP structure.

a b c (Å): 6.411 4.433 6.411
angles (deg): 90.00 90.00 90.00
Element x y z (fractional)
Ba  0.500  0.000  0.000
Zn  0.000  0.000  0.000
In  0.500  0.500  0.500
Ba  0.000  0.000  0.500
P  0.000  0.500  0.000

Summary:
Energy of formation   -13 kJ per mole of atoms
Fermi-level density of states   1.292 states/eV per atom

***

VASP calculation (PBE-GGA) on a geometry-optimized Nd3Al2Ag4 structure.

a b c (Å): 4.734 5.995 8.987
angles (deg): 113.21 90.00 113.26
Element x y z (fractional)
Al  0.638  0.276  0.308
Ag  0.087  0.173  0.410
Nd  0.000  0.000  0.000
Ag  0.714  0.428  0.061
Nd  0.348  0.697  0.320
Ag  0.286  0.572  0.939
Al  0.362  0.724  0.692
Ag  0.913  0.827  0.590
Nd  0.652  0.303  0.680

Summary:
Energy of formation   -31 kJ per mole of atoms
Fermi-level density of states   0.722 states/eV per atom

***

VASP calculation (PBE-GGA) on a geometry-optimized YZr2ScO structure.

a b c (Å): 4.587 4.587 4.819
angles (deg): 90.00 90.00 90.00
Element x y z (fractional)
O  0.000  0.000  0.000
Sc  0.500  0.500  0.500
Zr  0.500  0.000  0.000
Zr  0.000  0.500  0.000
Y  0.000  0.000  0.500

Summary:
Raw formation energy   -1060 meV/atom
Fermi-level density of states   0.779 states/eV per atom
Excess energy over the best structure of this formula in the dataset   0 meV/atom